This record from Alexandria via LeMat-Bulk describes an optimized crystal structure of In3PbSe6. The functional is GGA-PBE.

Output
Space group: P2_1/m, No. 11
Uncorrected formation energy: -422 meV per atom
VASP energy: -74.111 eV for the cell shown

abc: 3.9814 11.7411 13.6373
angles: 115.15 90.00 90.00
Closest atoms and distances in Å follow each position.
Fractional coordinates of all 20 atoms:
In1 0.7500 0.4760 0.8026  5 Se 2.67-2.80
Se1 0.7500 0.7627 0.6816  2 In 2.63
Se2 0.2500 0.5661 0.4061  3 In 2.67-2.73
In2 0.2500 0.5240 0.1974  5 Se 2.67-2.80
Pb1 0.7500 0.0437 0.7587  3 Se 2.88-3.01
Se3 0.2500 0.0482 0.9133  1 In 2.64, 2 Pb 2.88
Se4 0.2500 0.9167 0.5165  2 In 2.80, 2 Se 2.96
In3 0.7500 0.7341 0.4272  5 Se 2.73-2.80
In4 0.7500 0.1997 0.1818  4 Se 2.62-2.64
Se5 0.2500 0.2373 0.3184  2 In 2.63
Pb2 0.2500 0.9563 0.2414  3 Se 2.88-3.01
Se6 0.7500 0.0833 0.4835  2 In 2.80, 2 Se 2.96
Se7 0.2500 0.2996 0.7832  3 In 2.73-2.80
Se8 0.2500 0.6447 0.9106  3 In 2.62-2.75
Se9 0.7500 0.9518 0.0867  1 In 2.64, 2 Pb 2.88
In5 0.2500 0.2659 0.5728  5 Se 2.73-2.80
Se10 0.7500 0.7004 0.2168  3 In 2.73-2.80
Se11 0.7500 0.3553 0.0894  3 In 2.62-2.75
In6 0.2500 0.8003 0.8182  4 Se 2.62-2.64
Se12 0.7500 0.4339 0.5939  3 In 2.67-2.73

=====

This record from Alexandria via LeMat-Bulk describes an optimized crystal structure of InPbSe2. The functional is GGA-PBE.

Output
Space group: Cmmm, No. 65
Uncorrected formation energy: -485 meV per atom
VASP energy: -61.429 eV for the cell shown

abc: 8.7945 12.2701 4.2450
angles: 90.00 90.00 90.00
Closest atoms and distances in Å follow each position.
Fractional coordinates of all 16 atoms:
Se1 0.0000 0.2349 0.5000  1 In 2.88, 4 Pb 3.06
Pb1 0.2500 0.2500 0.0000  6 Se 3.06-3.08
Se2 0.0000 0.7651 0.5000  1 In 2.88, 4 Pb 3.06
In1 0.5000 0.5000 0.5000  6 Se 2.88
Se3 0.2206 0.0000 0.0000  2 In 2.88, 2 Pb 3.08
Se4 0.7206 0.5000 0.0000  2 In 2.88, 2 Pb 3.08
Se5 0.5000 0.7349 0.5000  1 In 2.88, 4 Pb 3.06
Pb2 0.2500 0.7500 0.0000  6 Se 3.06-3.08
Pb3 0.7500 0.2500 0.0000  6 Se 3.06-3.08
In2 0.0000 0.0000 0.5000  6 Se 2.88
Se6 0.2794 0.5000 0.0000  2 In 2.88, 2 Pb 3.08
Se7 0.7794 0.0000 0.0000  2 In 2.88, 2 Pb 3.08
In3 0.5000 0.0000 0.5000  6 Se 3.25
In4 0.0000 0.5000 0.5000  6 Se 3.25
Se8 0.5000 0.2651 0.5000  1 In 2.88, 4 Pb 3.06
Pb4 0.7500 0.7500 0.0000  6 Se 3.06-3.08

=====

This record from Alexandria via LeMat-Bulk describes an optimized crystal structure of InPb2Se. The functional is GGA-PBE.

Output
Space group: P2/m, No. 10
ΔE to the lowest computed polymorph: 66 meV per atom
Uncorrected formation energy: -86 meV per atom
VASP energy: -13.984 eV for the cell shown

abc: 4.0221 4.0248 8.1620
angles: 59.64 90.00 90.00
Closest atoms and distances in Å follow each position.
Fractional coordinates of all 4 atoms:
In1 0.5000 0.7500 0.7500  8 Pb 3.40-3.44, 2 Se 3.52
Se1 0.5000 0.2500 0.2500  8 Pb 3.22-3.33, 2 In 3.52
Pb1 0.0000 0.9651 0.0200  4 Se 3.22-3.33, 1 Pb 3.24, 4 In 3.40-3.44
Pb2 0.0000 0.5349 0.4800  4 Se 3.22-3.33, 1 Pb 3.24, 4 In 3.40-3.44

=====

This record from Alexandria via LeMat-Bulk describes an optimized crystal structure of In5Pb3Se12. The functional is GGA-PBE.

Output
Space group: Ia-3d, No. 230
Uncorrected formation energy: -348 meV per atom
VASP energy: -294.342 eV for the cell shown

abc: 14.5874 14.5874 14.5874
angles: 109.47 109.47 109.47
Closest atoms and distances in Å follow each position.
Fractional coordinates of all 80 atoms:
Se1 0.0389 0.6247 0.7137  2 In 2.62-2.77
In1 0.6250 0.8750 0.2500  4 Se 2.62
Se2 0.3252 0.5389 0.4142  2 In 2.62-2.77
In2 0.3750 0.1250 0.7500  4 Se 2.62
Se3 0.0890 0.9142 0.3753  2 In 2.62-2.77
Se4 0.5858 0.6247 0.4110  2 In 2.62-2.77
In3 0.2500 0.3750 0.6250  4 Se 2.62
In4 0.8750 0.6250 0.7500  4 Se 2.62
Se5 0.4611 0.6748 0.0858  2 In 2.62-2.77
In5 0.1250 0.3750 0.2500  4 Se 2.62
Se6 0.7137 0.1247 0.0389  2 In 2.62-2.77
Se7 0.0858 0.1748 0.4611  2 In 2.62-2.77
Pb1 0.6250 0.3750 0.7500  8 Se 3.19-3.22
In6 0.5000 0.5000 0.5000  6 Se 2.77
Pb2 0.6250 0.2500 0.3750  8 Se 3.19-3.22
Se8 0.8753 0.5890 0.9142  2 In 2.62-2.77
Se9 0.6748 0.2137 0.5890  2 In 2.62-2.77
Pb3 0.3750 0.6250 0.2500  8 Se 3.19-3.22
Se10 0.6247 0.5858 0.9110  2 In 2.62-2.77
Se11 0.5890 0.7137 0.6748  2 In 2.62-2.77
Pb4 0.7500 0.8750 0.6250  8 Se 3.19-3.22
Se12 0.2863 0.4110 0.8252  2 In 2.62-2.77
Se13 0.6748 0.4611 0.5858  2 In 2.62-2.77
Se14 0.7137 0.5890 0.1748  2 In 2.62-2.77
Se15 0.4110 0.2863 0.3252  2 In 2.62-2.77
Pb5 0.2500 0.6250 0.8750  8 Se 3.19-3.22
Se16 0.4142 0.3753 0.5890  2 In 2.62-2.77
Se17 0.0858 0.9110 0.1247  2 In 2.62-2.77
Se18 0.1247 0.4110 0.0858  2 In 2.62-2.77
In7 0.5000 0.5000 0.0000  6 Se 2.77
Se19 0.6247 0.0389 0.2137  2 In 2.62-2.77
Pb6 0.1250 0.8750 0.7500  8 Se 3.19-3.22
In8 0.1250 0.7500 0.3750  4 Se 2.62
Se20 0.5389 0.3252 0.9142  2 In 2.62-2.77
Pb7 0.8750 0.1250 0.2500  8 Se 3.19-3.22
Se21 0.7863 0.3252 0.9110  2 In 2.62-2.77
In9 0.2500 0.8750 0.1250  4 Se 2.62
Se22 0.8252 0.9142 0.0389  2 In 2.62-2.77
Se23 0.0389 0.4142 0.8252  2 In 2.62-2.77
Se24 0.1247 0.7137 0.5389  2 In 2.62-2.77
Se25 0.9611 0.3753 0.2863  2 In 2.62-2.77
Se26 0.2137 0.5389 0.6247  2 In 2.62-2.77
Se27 0.1748 0.0890 0.7137  2 In 2.62-2.77
In10 0.0000 0.5000 0.5000  6 Se 2.77
Se28 0.7863 0.4611 0.3753  2 In 2.62-2.77
In11 0.5000 0.0000 0.0000  6 Se 2.77
Pb8 0.7500 0.3750 0.1250  8 Se 3.19-3.22
Se29 0.4142 0.0389 0.3252  2 In 2.62-2.77
Se30 0.3753 0.4142 0.0890  2 In 2.62-2.77
In12 0.7500 0.6250 0.3750  4 Se 2.62
Se31 0.5858 0.9611 0.6748  2 In 2.62-2.77
Pb9 0.8750 0.7500 0.1250  8 Se 3.19-3.22
In13 0.3750 0.2500 0.1250  4 Se 2.62
Se32 0.2137 0.6748 0.0890  2 In 2.62-2.77
In14 0.0000 0.0000 0.5000  6 Se 2.77
In15 0.0000 0.5000 0.0000  6 Se 2.77
Se33 0.8252 0.9110 0.2863  2 In 2.62-2.77
Se34 0.9110 0.8252 0.7863  2 In 2.62-2.77
Se35 0.9110 0.0858 0.6247  2 In 2.62-2.77
Se36 0.9142 0.0890 0.8753  2 In 2.62-2.77
Se37 0.4110 0.1247 0.5858  2 In 2.62-2.77
In16 0.0000 0.0000 0.0000  6 Se 2.77
Se38 0.1748 0.0858 0.9611  2 In 2.62-2.77
Se39 0.0890 0.1748 0.2137  2 In 2.62-2.77
Se40 0.3753 0.9611 0.7863  2 In 2.62-2.77
Se41 0.3252 0.7863 0.4110  2 In 2.62-2.77
Se42 0.8753 0.2863 0.4611  2 In 2.62-2.77
In17 0.7500 0.1250 0.8750  4 Se 2.62
In18 0.8750 0.2500 0.6250  4 Se 2.62
Se43 0.5389 0.2137 0.1247  2 In 2.62-2.77
Se44 0.9611 0.5858 0.1748  2 In 2.62-2.77
In19 0.6250 0.7500 0.8750  4 Se 2.62
Se45 0.4611 0.7863 0.8753  2 In 2.62-2.77
Se46 0.9142 0.8252 0.5389  2 In 2.62-2.77
In20 0.5000 0.0000 0.5000  6 Se 2.77
Pb10 0.1250 0.2500 0.8750  8 Se 3.19-3.22
Pb11 0.3750 0.7500 0.6250  8 Se 3.19-3.22
Se47 0.2863 0.8753 0.9611  2 In 2.62-2.77
Pb12 0.2500 0.1250 0.3750  8 Se 3.19-3.22
Se48 0.5890 0.8753 0.4142  2 In 2.62-2.77

=====

This record from Alexandria via LeMat-Bulk describes an optimized crystal structure of InPbSe. The functional is GGA-PBE.

Output
Space group: P2_1/m, No. 11
ΔE to the lowest computed polymorph: 20 meV per atom
Uncorrected formation energy: -216 meV per atom
VASP energy: -21.160 eV for the cell shown

abc: 6.4811 4.2257 6.7130
angles: 108.85 90.00 90.00
Closest atoms and distances in Å follow each position.
Fractional coordinates of all 6 atoms:
Se1 0.0000 0.0227 0.5474  4 Pb 2.99-3.25, 4 In 3.30-3.33
In1 0.2500 0.3688 0.2357  2 In 3.24, 4 Se 3.30-3.34, 4 Pb 3.46-3.51
In2 0.7500 0.3688 0.2357  2 In 3.24, 4 Se 3.30-3.34, 4 Pb 3.46-3.51
Pb1 0.0000 0.6964 0.8813  4 Se 2.99-3.25
Se2 0.5000 0.7159 0.9237  4 Pb 2.99-3.25, 4 In 3.30-3.34
Pb2 0.5000 0.0419 0.5898  4 Se 2.99-3.25

=====

This record from Alexandria via LeMat-Bulk describes an optimized crystal structure of In2PbSe. The functional is GGA-PBE.

Output
Space group: Cm, No. 8
ΔE to the lowest computed polymorph: 21 meV per atom
Uncorrected formation energy: -148 meV per atom
VASP energy: -13.263 eV for the cell shown

abc: 6.0475 6.0475 6.0289
angles: 62.26 62.26 36.27
Closest atoms and distances in Å follow each position.
Fractional coordinates of all 4 atoms:
In1 0.2762 0.2762 0.2161  2 Se 2.95, 1 In 3.23, 1 Pb 3.29
Pb1 0.4639 0.4639 0.5933  3 Se 3.00-3.34, 1 In 3.29
In2 0.0465 0.0465 0.0547  2 Se 2.98, 1 In 3.23
Se1 0.7134 0.7134 0.6359  4 In 2.95-2.98, 1 Pb 3.00

=====

This record from Alexandria via LeMat-Bulk describes an optimized crystal structure of InPbSe2. The functional is GGA-PBE.

Output
Space group: P4/mmm, No. 123
Uncorrected formation energy: -473 meV per atom
VASP energy: -15.307 eV for the cell shown

abc: 6.1115 4.2908 4.2930
angles: 90.00 90.00 90.00
Closest atoms and distances in Å follow each position.
Fractional coordinates of all 4 atoms:
Se1 0.5000 0.0000 0.0000  4 In 3.03, 2 Pb 3.06
Pb1 0.0000 0.0000 0.0000  6 Se 3.03-3.06
Se2 0.0000 0.5000 0.5000  4 Pb 3.03, 2 In 3.06
In1 0.5000 0.5000 0.5000  6 Se 3.03-3.06

=====

This record from Alexandria via LeMat-Bulk describes an optimized crystal structure of InPb2Se. The functional is GGA-PBE.

Output
Space group: Pm, No. 6
ΔE to the lowest computed polymorph: 12 meV per atom
Uncorrected formation energy: -140 meV per atom
VASP energy: -14.200 eV for the cell shown

abc: 3.8816 5.3346 7.4562
angles: 53.17 90.00 90.00
Closest atoms and distances in Å follow each position.
Fractional coordinates of all 4 atoms:
Pb1 0.0000 0.0050 0.0630  2 Se 2.94-3.17
Pb2 0.5000 0.3972 0.2029  2 In 3.23-3.32, 4 Pb 3.36-3.44, 2 Se 3.37
In1 0.5000 0.6954 0.6638  2 Se 2.83
Se1 0.0000 0.4024 0.5703  2 In 2.83, 1 Pb 2.94

=====

This record from Alexandria via LeMat-Bulk describes an optimized crystal structure of In2PbSe. The functional is GGA-PBE.

Output
Space group: I-42d, No. 122
ΔE to the lowest computed polymorph: 44 meV per atom
Uncorrected formation energy: -126 meV per atom
VASP energy: -26.348 eV for the cell shown

abc: 6.5893 6.5893 8.1150
angles: 66.05 66.05 90.00
Closest atoms and distances in Å follow each position.
Fractional coordinates of all 8 atoms:
In1 0.3750 0.3879 0.7500  2 Se 2.81, 2 Pb 2.91
In2 0.8750 0.8621 0.7500  2 Se 2.81, 2 Pb 2.91
Pb1 0.7500 0.2500 0.5000  4 In 2.91
Se1 0.2500 0.7500 0.5000  4 In 2.81
Pb2 0.0000 0.0000 0.0000  4 In 2.91
In3 0.6121 0.1250 0.2500  2 Se 2.81, 2 Pb 2.91
In4 0.1379 0.6250 0.2500  2 Se 2.81, 2 Pb 2.91
Se2 0.5000 0.5000 0.0000  4 In 2.81

=====

This record from Alexandria via LeMat-Bulk describes an optimized crystal structure of In2PbSe. The functional is GGA-PBE.

Output
Space group: P4mm, No. 99
ΔE to the lowest computed polymorph: 71 meV per atom
Uncorrected formation energy: -99 meV per atom
VASP energy: -13.066 eV for the cell shown

abc: 3.7421 3.7421 7.7280
angles: 90.00 90.00 90.06
Closest atoms and distances in Å follow each position.
Fractional coordinates of all 4 atoms:
In1 0.0000 0.0000 0.9735  4 Se 3.09, 4 In 3.34
Pb1 0.0000 0.0000 0.5230  4 Se 3.25, 5 In 3.45-3.48
In2 0.5000 0.5000 0.2368  4 In 3.34, 4 Pb 3.45, 1 Se 3.63
Se1 0.5000 0.5000 0.7668  4 In 3.09, 4 Pb 3.25

=====

This record from Alexandria via LeMat-Bulk describes an optimized crystal structure of In2PbSe. The functional is GGA-PBE.

Output
Space group: C2/m, No. 12
ΔE to the lowest computed polymorph: 15 meV per atom
Uncorrected formation energy: -154 meV per atom
VASP energy: -13.287 eV for the cell shown

abc: 6.5429 6.5429 4.4227
angles: 71.35 71.35 124.50
Closest atoms and distances in Å follow each position.
Fractional coordinates of all 4 atoms:
In1 0.5000 0.5000 0.0000  4 In 3.05-3.21, 2 Pb 3.31, 2 Se 3.31
Se1 0.0000 0.5000 0.5000  4 Pb 3.05-3.21, 4 In 3.31
In2 0.0000 0.0000 0.0000  4 In 3.05-3.21, 2 Se 3.31, 2 Pb 3.31
Pb1 0.5000 0.0000 0.5000  4 Se 3.05-3.21, 4 In 3.31

=====

This record from Alexandria via LeMat-Bulk describes an optimized crystal structure of In2PbSe. The functional is GGA-PBE.

Output
Space group: F-43m, No. 216
ΔE to the lowest computed polymorph: 154 meV per atom
Uncorrected formation energy: -15 meV per atom
VASP energy: -12.731 eV for the cell shown

abc: 5.3640 5.3640 5.3640
angles: 60.00 60.00 60.00
Closest atoms and distances in Å follow each position.
Fractional coordinates of all 4 atoms:
In1 0.0000 0.0000 0.0000  4 In 3.28, 4 Se 3.28
Pb1 0.5000 0.5000 0.5000  4 Se 3.28, 4 In 3.28
Se1 0.2500 0.2500 0.2500  4 In 3.28, 4 Pb 3.28
In2 0.7500 0.7500 0.7500  4 In 3.28, 4 Pb 3.28